Rb3AlBi2: relaxed, PBE.

Output
- energy (eV per atom) = -2.67
- DOS(E_F) (states/eV per cell) = 5.464
- space group = No. 62
- total magnetic moment (μB per formula unit) = 0.0

Lattice parameters (Å, degrees): 4.8586 15.8445 14.5540 90.00 90.00 90.00
Element x y z (fractional)
1 Rb 0.2500 0.3862 0.0705
2 Rb 0.7500 0.6138 0.9295
3 Rb 0.7500 0.8862 0.4295
4 Rb 0.2500 0.1138 0.5705
5 Rb 0.2500 0.7062 0.1755
6 Rb 0.7500 0.2938 0.8245
7 Rb 0.7500 0.2062 0.3245
8 Rb 0.2500 0.7938 0.6755
9 Rb 0.2500 0.4422 0.3829
10 Rb 0.7500 0.5578 0.6171
11 Rb 0.7500 0.9422 0.1171
12 Rb 0.2500 0.0578 0.8829
13 Al 0.2500 0.1279 0.1469
14 Al 0.7500 0.8721 0.8531
15 Al 0.7500 0.6279 0.3531
16 Al 0.2500 0.3721 0.6469
17 Bi 0.2500 0.6835 0.4393
18 Bi 0.7500 0.3165 0.5607
19 Bi 0.7500 0.1835 0.0607
20 Bi 0.2500 0.8165 0.9393
21 Bi 0.2500 0.0281 0.2984
22 Bi 0.7500 0.9719 0.7016
23 Bi 0.7500 0.5281 0.2016
24 Bi 0.2500 0.4719 0.7984

Tb6Nd12Sm: relaxed, PBE.

Output
- energy (eV per atom) = -4.59
- DOS(E_F) (states/eV per cell) = 31.231
- space group = No. 148
- total magnetic moment (μB per formula unit) = 0.0

Lattice parameters (Å, degrees): 8.7123 8.7123 8.7123 88.97 88.97 88.97
Element x y z (fractional)
1 Tb 0.7405 0.9018 0.2992
2 Tb 0.7008 0.2595 0.0982
3 Tb 0.0982 0.7008 0.2595
4 Tb 0.2595 0.0982 0.7008
5 Tb 0.2992 0.7405 0.9018
6 Tb 0.9018 0.2992 0.7405
7 Nd 0.7804 0.5365 0.4333
8 Nd 0.4333 0.7804 0.5365
9 Nd 0.5365 0.4333 0.7804
10 Nd 0.2196 0.4635 0.5667
11 Nd 0.5667 0.2196 0.4635
12 Nd 0.4635 0.5667 0.2196
13 Nd 0.0174 0.1955 0.3620
14 Nd 0.8045 0.6380 0.9826
15 Nd 0.6380 0.9826 0.8045
16 Nd 0.9826 0.8045 0.6380
17 Nd 0.1955 0.3620 0.0174
18 Nd 0.3620 0.0174 0.1955
19 Sm 0.0000 0.0000 0.0000

SmLuPd2: relaxed, PBE.

Output
- energy (eV per atom) = -5.64
- DOS(E_F) (states/eV per cell) = 2.767
- space group = No. 166
- total magnetic moment (μB per formula unit) = 0.0

Lattice parameters (Å, degrees): 4.1247 4.1247 6.9406 72.71 72.71 60.00
Element x y z (fractional)
1 Lu 0.0000 0.0000 0.0000
2 Pd 0.7435 0.7435 0.7695
3 Pd 0.2565 0.2565 0.2305
4 Sm 0.5000 0.5000 0.5000

LaCu5Ag: relaxed, PBE.

Output
- energy (eV per atom) = -4.20
- DOS(E_F) (states/eV per cell) = 14.379
- space group = No. 62
- total magnetic moment (μB per formula unit) = 0.0

Lattice parameters (Å, degrees): 5.1193 8.3920 10.5127 90.00 90.00 90.00
Element x y z (fractional)
1 La 0.2500 0.2417 0.9365
2 La 0.7500 0.2583 0.4365
3 La 0.2500 0.7417 0.5635
4 La 0.7500 0.7583 0.0635
5 Cu 0.2500 0.5859 0.0157
6 Cu 0.7500 0.9141 0.5157
7 Cu 0.2500 0.0859 0.4843
8 Cu 0.7500 0.4141 0.9843
9 Cu 0.7500 0.3155 0.7552
10 Cu 0.2500 0.1845 0.2552
11 Cu 0.7500 0.8155 0.7448
12 Cu 0.2500 0.6845 0.2448
13 Cu 0.2500 0.9461 0.1096
14 Cu 0.7500 0.5539 0.6096
15 Cu 0.2500 0.4461 0.3904
16 Cu 0.7500 0.0539 0.8904
17 Cu 0.9996 0.4331 0.1868
18 Cu 0.0004 0.0669 0.6868
19 Cu 0.5004 0.9331 0.3132
20 Cu 0.4996 0.5669 0.8132
21 Cu 0.0004 0.5669 0.8132
22 Cu 0.9996 0.9331 0.3132
23 Cu 0.4996 0.0669 0.6868
24 Cu 0.5004 0.4331 0.1868
25 Ag 0.2500 0.8593 0.8628
26 Ag 0.7500 0.6407 0.3628
27 Ag 0.2500 0.3593 0.6372
28 Ag 0.7500 0.1407 0.1372